P) Compound: SmErInAu
Source: the Alexandria database
Functional: PBE
Structure: optimized geometry

a = 3.6252 Å, b = 3.6252 Å, c = 7.7539 Å
α = 90.00°, β = 90.00°, γ = 90.00°
Closest atoms and distances in Å follow each position.
Fractional positions:
Er: 0.0000 0.0000 0.3810  4 Au 3.01, 4 In 3.27
Sm: 0.0000 0.0000 0.8437  4 Au 3.26, 4 In 3.33, 1 Er 3.59, 4 Sm 3.63
In: 0.5000 0.5000 0.1183  4 Er 3.27, 4 Sm 3.33, 1 Au 3.62, 4 In 3.63
Au: 0.5000 0.5000 0.5850  4 Er 3.01, 4 Sm 3.26

Results
V   101.9 Å³ per cell
ρ   10.3 Mg/m³

---

Q) Compound: SmErInAu
Source: the Alexandria database
Functional: PBE
Structure: optimized geometry

a = 5.2575 Å, b = 5.2575 Å, c = 5.2575 Å
α = 60.00°, β = 60.00°, γ = 60.00°
Closest atoms and distances in Å follow each position.
Fractional positions:
In: 0.5000 0.5000 0.5000  4 Er 3.22, 4 Sm 3.22
Sm: 0.2500 0.2500 0.2500  4 In 3.22, 4 Au 3.22
Au: 0.0000 0.0000 0.0000  4 Sm 3.22, 4 Er 3.22
Er: 0.7500 0.7500 0.7500  4 Au 3.22, 4 In 3.22

Results
V   102.8 Å³ per cell
ρ   10.2 Mg/m³

---

List of relative energies, unit meV per atom: P) 0; Q) 70

---

P) Compound: ErTmInAu
Source: the Alexandria database
Functional: PBE
Structure: optimized geometry

a = 3.5714 Å, b = 3.5714 Å, c = 7.6065 Å
α = 90.00°, β = 90.00°, γ = 90.00°
Closest atoms and distances in Å follow each position.
Fractional positions:
Tm: 0.0000 0.0000 0.8367  4 Au 3.06, 4 In 3.25
Er: 0.0000 0.0000 0.3752  4 Au 3.10, 4 In 3.25
In: 0.5000 0.5000 0.1054  4 Tm 3.25, 4 Er 3.25, 4 In 3.57
Au: 0.5000 0.5000 0.6106  4 Tm 3.06, 4 Er 3.10

Results
V   97.0 Å³ per cell
ρ   11.1 Mg/m³

---

Q) Compound: ErTmInAu
Source: the Alexandria database
Functional: PBE
Structure: optimized geometry

a = 5.1651 Å, b = 5.1651 Å, c = 5.1651 Å
α = 60.00°, β = 60.00°, γ = 60.00°
Closest atoms and distances in Å follow each position.
Fractional positions:
Er: 0.7500 0.7500 0.7500  4 Au 3.16, 4 In 3.16
In: 0.5000 0.5000 0.5000  4 Tm 3.16, 4 Er 3.16
Au: 0.0000 0.0000 0.0000  4 Er 3.16, 4 Tm 3.16
Tm: 0.2500 0.2500 0.2500  4 Au 3.16, 4 In 3.16

Results
V   97.4 Å³ per cell
ρ   11.0 Mg/m³

---

List of relative energies, unit meV per atom: P) 0; Q) 50

---

P) Compound: YErInAu
Source: the Alexandria database
Functional: PBE
Structure: optimized geometry

a = 3.6003 Å, b = 3.6003 Å, c = 7.6512 Å
α = 90.00°, β = 90.00°, γ = 90.00°
Closest atoms and distances in Å follow each position.
Fractional positions:
In: 0.5000 0.5000 0.1032  4 Er 3.27, 4 Y 3.28, 4 In 3.60
Er: 0.0000 0.0000 0.8356  4 Au 3.05, 4 In 3.27
Au: 0.5000 0.5000 0.6164  4 Er 3.05, 4 Y 3.16
Y: 0.0000 0.0000 0.3727  4 Au 3.16, 4 In 3.28

Results
V   99.2 Å³ per cell
ρ   9.5 Mg/m³

---

Q) Compound: YErInAu
Source: the Alexandria database
Functional: PBE
Structure: optimized geometry

a = 5.2044 Å, b = 5.2044 Å, c = 5.2044 Å
α = 60.00°, β = 60.00°, γ = 60.00°
Closest atoms and distances in Å follow each position.
Fractional positions:
In: 0.7500 0.7500 0.7500  4 Y 3.19, 4 Er 3.19
Er: 0.0000 0.0000 0.0000  4 In 3.19, 4 Au 3.19
Au: 0.2500 0.2500 0.2500  4 Er 3.19, 4 Y 3.19
Y: 0.5000 0.5000 0.5000  4 Au 3.19, 4 In 3.19

Results
V   99.7 Å³ per cell
ρ   9.5 Mg/m³

---

List of relative energies, unit meV per atom: P) 0; Q) 50

---

P) Compound: Er8IrAu2
Source: the Alexandria database
Functional: PBE
Structure: optimized geometry

a = 5.0687 Å, b = 6.7240 Å, c = 9.0480 Å
α = 105.52°, β = 106.27°, γ = 90.00°
Closest atoms and distances in Å follow each position.
Fractional positions:
Ir: 0.5000 0.0000 0.0000  8 Er 2.86-3.01
Er: 0.3392 0.0306 0.6785  1 Ir 2.86, 3 Au 2.88-3.12
Er: 0.9705 0.2094 0.9410  1 Au 2.88, 2 Ir 3.01
Er: 0.6608 0.9694 0.3215  1 Ir 2.86, 3 Au 2.88-3.12
Er: 0.5894 0.4349 0.1789  1 Ir 2.90
Er: 0.4106 0.5651 0.8211  1 Ir 2.90
Er: 0.7968 0.6845 0.5937  1 Au 2.84
Er: 0.0295 0.7906 0.0590  1 Au 2.88, 2 Ir 3.01
Er: 0.2032 0.3155 0.4063  1 Au 2.84
Au: 0.8140 0.2768 0.6281  5 Er 2.84-3.12
Au: 0.1860 0.7232 0.3719  5 Er 2.84-3.12

Results
V   284.3 Å³ per cell
ρ   11.2 Mg/m³

---

Q) Compound: Er8IrAu2
Source: the Alexandria database
Functional: PBE
Structure: optimized geometry

a = 5.5456 Å, b = 9.4808 Å, c = 9.4808 Å
α = 137.32°, β = 100.02°, γ = 100.02°
Closest atoms and distances in Å follow each position.
Fractional positions:
Au: 0.4549 0.2568 0.7500  6 Er 2.93-3.05
Au: 0.4549 0.7500 0.2568  6 Er 2.93-3.05
Ir: 0.4523 0.0044 0.0044  6 Er 2.74-2.89
Er: 0.0455 0.2545 0.2545  1 Ir 2.89, 1 Er 3.13
Er: 0.3197 0.8201 0.5894  1 Ir 2.74, 2 Au 2.98-3.05
Er: 0.9544 0.8032 0.2011  2 Au 2.93-2.94
Er: 0.3197 0.5894 0.8201  1 Ir 2.74, 2 Au 2.98-3.05
Er: 0.9544 0.2011 0.8032  2 Au 2.93-2.94
Er: 0.5907 0.1866 0.4183  1 Ir 2.74, 2 Au 2.97-3.04
Er: 0.8626 0.7495 0.7495  1 Ir 2.88, 1 Er 3.13
Er: 0.5907 0.4183 0.1866  1 Ir 2.74, 2 Au 2.97-3.04

Results
V   296.8 Å³ per cell
ρ   10.8 Mg/m³

---

List of relative energies, unit meV per atom: P) 0; Q) 70

---

P) Compound: ErTmIrAu
Source: the Alexandria database
Functional: PBE
Structure: optimized geometry

a = 3.4784 Å, b = 3.4784 Å, c = 6.9786 Å
α = 90.00°, β = 90.00°, γ = 90.00°
Closest atoms and distances in Å follow each position.
Fractional positions:
Ir: 0.0000 0.0000 0.8587  4 Tm 2.94, 4 Er 2.95
Tm: 0.5000 0.5000 0.0902  4 Ir 2.94, 4 Au 3.07, 1 Er 3.25
Er: 0.5000 0.5000 0.6244  4 Ir 2.95, 4 Au 3.10, 1 Tm 3.25
Au: 0.0000 0.0000 0.3546  4 Tm 3.07, 4 Er 3.10

Results
V   84.4 Å³ per cell
ρ   14.3 Mg/m³

---

Q) Compound: ErTmIrAu
Source: the Alexandria database
Functional: PBE
Structure: optimized geometry

a = 4.9124 Å, b = 4.9124 Å, c = 4.9124 Å
α = 60.00°, β = 60.00°, γ = 60.00°
Closest atoms and distances in Å follow each position.
Fractional positions:
Ir: 0.5000 0.5000 0.5000  4 Er 3.01, 4 Tm 3.01
Au: 0.0000 0.0000 0.0000  4 Er 3.01, 4 Tm 3.01
Er: 0.2500 0.2500 0.2500  4 Au 3.01, 4 Ir 3.01
Tm: 0.7500 0.7500 0.7500  4 Ir 3.01, 4 Au 3.01

Results
V   83.8 Å³ per cell
ρ   14.4 Mg/m³

---

List of relative energies, unit meV per atom: P) 0; Q) 13

---

P) Compound: YErIrAu
Source: the Alexandria database
Functional: PBE
Structure: optimized geometry

a = 4.9513 Å, b = 4.9513 Å, c = 4.9513 Å
α = 60.00°, β = 60.00°, γ = 60.00°
Closest atoms and distances in Å follow each position.
Fractional positions:
Au: 0.5000 0.5000 0.5000  4 Y 3.03, 4 Er 3.03
Ir: 0.0000 0.0000 0.0000  4 Er 3.03, 4 Y 3.03
Y: 0.7500 0.7500 0.7500  4 Au 3.03, 4 Ir 3.03
Er: 0.2500 0.2500 0.2500  4 Ir 3.03, 4 Au 3.03

Results
V   85.8 Å³ per cell
ρ   12.5 Mg/m³

---

Q) Compound: YErIrAu
Source: the Alexandria database
Functional: PBE
Structure: optimized geometry

a = 3.5071 Å, b = 3.5071 Å, c = 7.0219 Å
α = 90.00°, β = 90.00°, γ = 90.00°
Closest atoms and distances in Å follow each position.
Fractional positions:
Ir: 0.5000 0.5000 0.6015  4 Er 2.95, 4 Y 2.99
Er: 0.0000 0.0000 0.3735  4 Ir 2.95, 4 Au 3.08, 1 Y 3.28
Y: 0.0000 0.0000 0.8401  4 Ir 2.99, 4 Au 3.13, 1 Er 3.28
Au: 0.5000 0.5000 0.1128  4 Er 3.08, 4 Y 3.13, 1 Ir 3.43

Results
V   86.4 Å³ per cell
ρ   12.4 Mg/m³

---

List of relative energies, unit meV per atom: P) 14; Q) 0

---

P) Compound: LaEr2Au
Source: the Alexandria database
Functional: PBE
Structure: optimized geometry

a = 3.7793 Å, b = 3.7793 Å, c = 10.1246 Å
α = 79.24°, β = 79.24°, γ = 60.00°
Closest atoms and distances in Å follow each position.
Fractional positions:
La: 0.5019 0.5019 0.4943  6 Er 3.65-3.76, 6 La 3.78
Au: 0.6656 0.6656 0.0031  6 Er 2.91-2.94
Er: 0.0653 0.0653 0.8042  3 Au 2.94
Er: 0.2672 0.2672 0.1985  3 Au 2.91

Results
V   122.3 Å³ per cell
ρ   9.1 Mg/m³

---

Q) Compound: LaEr2Au
Source: the Alexandria database
Functional: PBE
Structure: optimized geometry

a = 3.6164 Å, b = 3.6164 Å, c = 8.6642 Å
α = 90.00°, β = 90.00°, γ = 90.00°
Closest atoms and distances in Å follow each position.
Fractional positions:
Er: 0.0000 0.0000 0.1965  4 Au 3.07, 1 Er 3.41
Er: 0.0000 0.0000 0.8035  4 Au 3.07, 1 Er 3.41
Au: 0.5000 0.5000 0.0000  8 Er 3.07
La: 0.5000 0.5000 0.5000  4 La 3.62, 8 Er 3.67

Results
V   113.3 Å³ per cell
ρ   9.8 Mg/m³

---

List of relative energies, unit meV per atom: P) 117; Q) 0